Record 1
This record from Alexandria describes a relaxed BaFe2Rh crystal. The functional is PBE.

CIF file:
```
data_BaFe2Rh
_cell_length_a 6.702
_cell_length_b 6.702
_cell_length_c 6.702
_cell_angle_alpha 90.00
_cell_angle_beta 90.00
_cell_angle_gamma 90.00
_space_group_name_H-M_alt 'F -4 3 m'
_space_group_IT_number 216
_space_group_name_Hall 'F -4 2 3'
loop_
_atom_site_label
_atom_site_type_symbol
_atom_site_fract_x
_atom_site_fract_y
_atom_site_fract_z
_atom_site_occupancy
Ba1 Ba 0.000 0.000 0.000 1
Fe1 Fe 0.000 0.000 0.500 1
Fe2 Fe 0.250 0.250 0.750 1
Rh1 Rh 0.250 0.250 0.250 1
```

Computed properties:
The energy of formation from the pure elements comes out at 0.808 eV per atom.



Record 2
This record from Alexandria describes a relaxed BaFeRh2 crystal. The functional is PBE.

CIF file:
```
data_BaFeRh2
_cell_length_a 7.592
_cell_length_b 4.382
_cell_length_c 6.167
_cell_angle_alpha 90.00
_cell_angle_beta 114.06
_cell_angle_gamma 90.00
_space_group_name_H-M_alt 'C 1 m 1'
_space_group_IT_number 8
_space_group_name_Hall 'C -2y'
loop_
_atom_site_label
_atom_site_type_symbol
_atom_site_fract_x
_atom_site_fract_y
_atom_site_fract_z
_atom_site_occupancy
Ba1 Ba 0.000 0.000 0.000 1
Fe1 Fe 0.313 0.500 0.440 1
Rh1 Rh 0.000 0.500 0.501 1
Rh2 Rh 0.187 0.000 0.561 1
```

Computed properties:
The energy of formation from the pure elements comes out at 0.046 eV per atom.



Record 3
This record from Alexandria describes a relaxed BaFeRh2 crystal. The functional is PBE.

CIF file:
```
data_BaFeRh2
_cell_length_a 3.151
_cell_length_b 5.117
_cell_length_c 9.998
_cell_angle_alpha 90.00
_cell_angle_beta 90.00
_cell_angle_gamma 90.00
_space_group_name_H-M_alt 'I m m 2'
_space_group_IT_number 44
_space_group_name_Hall 'I 2 -2'
loop_
_atom_site_label
_atom_site_type_symbol
_atom_site_fract_x
_atom_site_fract_y
_atom_site_fract_z
_atom_site_occupancy
Ba1 Ba 0.000 0.000 0.000 1
Fe1 Fe 0.000 0.500 0.208 1
Rh1 Rh 0.000 0.000 0.516 1
Rh2 Rh 0.000 0.500 0.786 1
```

Computed properties:
The energy of formation from the pure elements comes out at 0.501 eV per atom.



Record 4
This record from Alexandria describes a relaxed BaFe2Rh crystal. The functional is PBE.

CIF file:
```
data_BaFe2Rh
_cell_length_a 3.241
_cell_length_b 3.241
_cell_length_c 7.476
_cell_angle_alpha 90.00
_cell_angle_beta 90.00
_cell_angle_gamma 90.00
_space_group_name_H-M_alt 'P 4 m m'
_space_group_IT_number 99
_space_group_name_Hall 'P 4 -2'
loop_
_atom_site_label
_atom_site_type_symbol
_atom_site_fract_x
_atom_site_fract_y
_atom_site_fract_z
_atom_site_occupancy
Ba1 Ba 0.000 0.000 0.000 1
Fe1 Fe 0.000 0.000 0.499 1
Fe2 Fe 0.500 0.500 0.347 1
Rh1 Rh 0.500 0.500 0.673 1
```

Computed properties:
The energy of formation from the pure elements comes out at 0.415 eV per atom.



Number 1: theoretical density 7.767 Mg/m³, magnetic moment 1.38 μB per atom, electronic total energy -5.742 eV per atom. Number 2: theoretical density 7.073 Mg/m³, magnetic moment 0.90 μB per atom, electronic total energy -6.226 eV per atom. Number 3: theoretical density 8.220 Mg/m³, magnetic moment 0.98 μB per atom, electronic total energy -5.771 eV per atom. Number 4: theoretical density 7.440 Mg/m³, magnetic moment 1.58 μB per atom, electronic total energy -6.135 eV per atom.